Entry 1:
Compound: Rb3DyHo2S6
Source: the Alexandria database
Functional: PBE
Structure: optimized geometry

Results
V (Å³ per atom): 27.53
Formation energy from raw total energies (eV per atom): -1.855
Final energy (Ry/atom): -0.390

abc: 7.045 12.202 8.036
angles: 90.00 106.99 90.00
Space group C2/m (No. 12)
Asymmetric unit:
Rb (0.000, 0.000, 0.000) [2 per cell]
Rb (0.000, 0.333, 0.000) [4 per cell]
Dy (0.000, 0.500, 0.500) [2 per cell]
Ho (0.000, 0.167, 0.500) [4 per cell]
S (0.229, 0.000, 0.691) [4 per cell]
S (0.231, 0.333, 0.691) [8 per cell]

---

Entry 2:
Compound: AlRhBr2
Source: the Alexandria database
Functional: PBE
Structure: optimized geometry

Results
V (Å³ per atom): 21.57
Formation energy from raw total energies (eV per atom): 0.414
Final energy (Ry/atom): -0.235

abc: 3.429 3.429 7.338
angles: 90.00 90.00 90.00
Space group P4/mmm (No. 123)
Asymmetric unit:
Al (0.000, 0.000, 0.000) [1 per cell]
Rh (0.000, 0.000, 0.500) [1 per cell]
Br (0.500, 0.500, 0.275) [2 per cell]